#a
Below is a relaxed structure of La4Nd2Tl, with properties calculated at the PBE level.

a = 17.184 Å, b = 3.648 Å, c = 8.888 Å
α = 90.00°, β = 117.18°, γ = 90.00°
Fractional positions:
La 0.079 0.000 0.204
La 0.134 0.500 0.895
La 0.366 0.000 0.105
La 0.421 0.500 0.796
La 0.579 0.500 0.204
La 0.634 0.000 0.895
La 0.866 0.500 0.105
La 0.921 0.000 0.796
Nd 0.217 0.000 0.641
Nd 0.283 0.500 0.359
Nd 0.717 0.500 0.641
Nd 0.783 0.000 0.359
Tl 0.000 0.000 0.500
Tl 0.500 0.500 0.500

- Density: 7.0 g cm⁻³
- Space-group type: C2/m (12)

#b
Below is a relaxed structure of La4Nd2Tl, with properties calculated at the PBE level.

a = 6.435 Å, b = 11.240 Å, c = 6.726 Å
α = 90.00°, β = 90.16°, γ = 90.00°
Fractional positions:
La 0.058 0.152 0.486
La 0.058 0.348 0.986
La 0.395 0.746 0.742
La 0.395 0.754 0.242
La 0.605 0.246 0.758
La 0.605 0.254 0.258
La 0.942 0.652 0.014
La 0.942 0.848 0.514
Nd 0.247 0.041 0.986
Nd 0.247 0.459 0.486
Nd 0.753 0.541 0.514
Nd 0.753 0.959 0.014
Tl 0.500 0.000 0.500
Tl 0.500 0.500 0.000

- Density: 7.2 g cm⁻³
- Space-group type: P2_1/c (14)

Short version: #a is the least stable of them.

#a
Below is a relaxed structure of La2Nd2Tl, with properties calculated at the PBE level.

a = 9.870 Å, b = 5.704 Å, c = 6.894 Å
α = 90.00°, β = 118.45°, γ = 90.00°
Fractional positions:
La 0.104 0.000 0.312
La 0.396 0.500 0.688
La 0.604 0.500 0.312
La 0.896 0.000 0.688
Nd 0.181 0.500 0.042
Nd 0.319 0.000 0.958
Nd 0.681 0.000 0.042
Nd 0.819 0.500 0.958
Tl 0.000 0.500 0.500
Tl 0.500 0.000 0.500

- Density: 7.5 g cm⁻³
- Space-group type: C2/m (12)

#b
Below is a relaxed structure of La2Nd2Tl, with properties calculated at the PBE level.

a = 6.608 Å, b = 6.705 Å, c = 9.221 Å
α = 71.14°, β = 74.00°, γ = 62.63°
Fractional positions:
La 0.034 0.220 0.345
La 0.142 0.733 0.198
La 0.858 0.267 0.802
La 0.966 0.780 0.655
Nd 0.290 0.310 0.939
Nd 0.429 0.262 0.547
Nd 0.571 0.738 0.453
Nd 0.710 0.690 0.061
Tl 0.381 0.810 0.813
Tl 0.619 0.190 0.187

- Density: 7.5 g cm⁻³
- Space-group type: P-1 (2)

Short version: #a is the least stable of them.

#a
Below is a relaxed structure of La2Nd6Tl, with properties calculated at the PBE level.

a = 11.578 Å, b = 11.578 Å, c = 6.074 Å
α = 98.56°, β = 98.56°, γ = 50.91°
Fractional positions:
La 0.168 0.329 0.475
La 0.329 0.168 0.975
La 0.671 0.832 0.025
La 0.832 0.671 0.525
Nd 0.006 0.849 0.568
Nd 0.088 0.590 0.053
Nd 0.151 0.994 0.932
Nd 0.345 0.499 0.623
Nd 0.410 0.912 0.447
Nd 0.499 0.345 0.123
Nd 0.501 0.655 0.877
Nd 0.590 0.088 0.553
Nd 0.655 0.501 0.377
Nd 0.849 0.006 0.068
Nd 0.912 0.410 0.947
Nd 0.994 0.151 0.432
Tl 0.271 0.729 0.250
Tl 0.729 0.271 0.750

- Density: 7.2 g cm⁻³
- Space-group type: C2/c (15)

#b
Below is a relaxed structure of La2Nd6Tl, with properties calculated at the PBE level.

a = 9.927 Å, b = 9.927 Å, c = 9.927 Å
α = 158.89°, β = 115.60°, γ = 68.59°
Fractional positions:
La 0.151 0.151 0.000
La 0.849 0.849 0.000
Nd 0.162 0.824 0.339
Nd 0.203 0.500 0.703
Nd 0.485 0.824 0.661
Nd 0.515 0.176 0.339
Nd 0.797 0.500 0.297
Nd 0.838 0.176 0.661
Tl 0.500 0.000 0.500

- Density: 7.1 g cm⁻³
- Space-group type: Immm (71)

Short version: #a is the least stable of them.

#a
Below is a relaxed structure of LaNd4Tl, with properties calculated at the PBE level.

a = 3.723 Å, b = 3.723 Å, c = 14.697 Å
α = 90.00°, β = 90.00°, γ = 90.00°
Fractional positions:
La 0.000 0.000 0.000
Nd 0.000 0.000 0.355
Nd 0.000 0.000 0.645
Nd 0.500 0.500 0.179
Nd 0.500 0.500 0.821
Tl 0.500 0.500 0.500

- Density: 7.5 g cm⁻³
- Space-group type: P4/mmm (123)

#b
Below is a relaxed structure of LaNd4Tl, with properties calculated at the PBE level.

a = 11.195 Å, b = 11.195 Å, c = 6.635 Å
α = 90.00°, β = 90.00°, γ = 149.70°
Fractional positions:
La 0.135 0.865 0.500
La 0.865 0.135 0.000
Nd 0.061 0.939 0.989
Nd 0.251 0.749 0.104
Nd 0.313 0.687 0.634
Nd 0.458 0.542 0.806
Nd 0.542 0.458 0.306
Nd 0.687 0.313 0.134
Nd 0.749 0.251 0.604
Nd 0.939 0.061 0.489
Tl 0.396 0.604 0.249
Tl 0.604 0.396 0.749

- Density: 7.3 g cm⁻³
- Space-group type: Cmc2_1 (36)

Short version: #b is the least stable of them.